# 1
A plane-wave DFT calculation with PBE was carried out for a relaxed PmTh2Os crystal.

Unit cell a=7.3219 b=9.8011 c=6.4352 alpha=90.00 beta=90.00 gamma=90.00
Last column: nearest neighbours and their distance in Å.
Space group Pnma (No. 62)
Asymmetric unit:
Pm 0.0365 0.2500 0.1408 [4 per cell]  2 Os 3.00-3.18
Th 0.1713 0.0615 0.6654 [8 per cell]  2 Os 2.82-2.84
Os 0.1151 0.7500 0.3958 [4 per cell]  4 Th 2.82-2.84, 1 Pm 3.00

Results
- energy relative to the elements (eV per atom) = -0.21


# 2
A plane-wave DFT calculation with PBE was carried out for a relaxed PmTh2Os9 crystal.

Unit cell a=9.5050 b=5.2473 c=9.4669 alpha=90.00 beta=109.63 gamma=90.00
Last column: nearest neighbours and their distance in Å.
Space group C2/m (No. 12)
Asymmetric unit:
Pm 0.0000 0.0000 0.0000 [2 per cell]  6 Os 2.90-3.21
Th 0.1355 0.0000 0.4181 [4 per cell]  11 Os 3.08-3.32, 3 Th 3.42-3.43
Os 0.0000 0.5000 0.5000 [2 per cell]  6 Os 2.71-2.95
Os 0.0803 0.5000 0.2253 [4 per cell]  7 Os 2.64-2.95
Os 0.1720 0.2525 0.7498 [8 per cell]  7 Os 2.59-2.81
Os 0.1922 0.5000 0.9929 [4 per cell]  8 Os 2.59-2.83, 1 Pm 2.90

Results
- energy relative to the elements (eV per atom) = -0.07


Repeat the second record exactly.
A plane-wave DFT calculation with PBE was carried out for a relaxed PmTh2Os9 crystal.

Unit cell a=9.5050 b=5.2473 c=9.4669 alpha=90.00 beta=109.63 gamma=90.00
Last column: nearest neighbours and their distance in Å.
Space group C2/m (No. 12)
Asymmetric unit:
Pm 0.0000 0.0000 0.0000 [2 per cell]  6 Os 2.90-3.21
Th 0.1355 0.0000 0.4181 [4 per cell]  11 Os 3.08-3.32, 3 Th 3.42-3.43
Os 0.0000 0.5000 0.5000 [2 per cell]  6 Os 2.71-2.95
Os 0.0803 0.5000 0.2253 [4 per cell]  7 Os 2.64-2.95
Os 0.1720 0.2525 0.7498 [8 per cell]  7 Os 2.59-2.81
Os 0.1922 0.5000 0.9929 [4 per cell]  8 Os 2.59-2.83, 1 Pm 2.90

Results
- energy relative to the elements (eV per atom) = -0.07